<a>
# RbYC PBE relaxed
# Calculated volume, Å³ per cell: 491.13
data_RbYC
_chemical_formula_sum 'Rb4 Y4 C4'
_cell_length_a 7.839
_cell_length_b 7.823
_cell_length_c 8.009
_cell_angle_alpha 90.00
_cell_angle_beta 90.00
_cell_angle_gamma 90.00
_symmetry_space_group_name_H-M 'P 1'
_symmetry_Int_Tables_number 1
_symmetry_space_group_name_Hall 'P 1'
loop_
_atom_site_label
_atom_site_type_symbol
_atom_site_fract_x
_atom_site_fract_y
_atom_site_fract_z
Y1 Y 0.000 0.000 0.000
Y2 Y 0.500 0.500 0.500
Y3 Y 0.500 0.000 0.500
Y4 Y 0.000 0.500 0.000
C1 C 0.406 0.250 0.411
C2 C 0.094 0.750 0.911
C3 C 0.594 0.750 0.589
C4 C 0.906 0.250 0.089
Rb1 Rb 0.522 0.250 0.047
Rb2 Rb 0.978 0.750 0.547
Rb3 Rb 0.478 0.750 0.953
Rb4 Rb 0.022 0.250 0.453

=====

<b>
# RbYC PBE relaxed
# Calculated volume, Å³ per cell: 221.59
data_RbYC
_chemical_formula_sum 'Rb2 Y2 C2'
_cell_length_a 8.570
_cell_length_b 6.604
_cell_length_c 3.989
_cell_angle_alpha 83.12
_cell_angle_beta 97.52
_cell_angle_gamma 86.60
_symmetry_space_group_name_H-M 'P 1'
_symmetry_Int_Tables_number 1
_symmetry_space_group_name_Hall 'P 1'
loop_
_atom_site_label
_atom_site_type_symbol
_atom_site_fract_x
_atom_site_fract_y
_atom_site_fract_z
Y1 Y 0.421 0.764 0.631
Y2 Y 0.579 0.236 0.369
C1 C 0.521 0.060 0.866
C2 C 0.479 0.940 0.134
Rb1 Rb 0.852 0.758 0.131
Rb2 Rb 0.148 0.242 0.869

=====

<c>
# RbYC PBE relaxed
# Calculated volume, Å³ per cell: 228.31
data_RbYC
_chemical_formula_sum 'Rb2 Y2 C2'
_cell_length_a 7.904
_cell_length_b 3.959
_cell_length_c 9.006
_cell_angle_alpha 102.67
_cell_angle_beta 122.93
_cell_angle_gamma 90.00
_symmetry_space_group_name_H-M 'P 1'
_symmetry_Int_Tables_number 1
_symmetry_space_group_name_Hall 'P 1'
loop_
_atom_site_label
_atom_site_type_symbol
_atom_site_fract_x
_atom_site_fract_y
_atom_site_fract_z
Y1 Y 0.303 0.817 0.025
Y2 Y 0.186 0.126 0.643
C1 C 0.836 0.007 0.404
C2 C 0.653 0.937 0.265
Rb1 Rb 0.838 0.364 0.117
Rb2 Rb 0.652 0.580 0.551

=====

Relative energies, unit meV/atom: <a> 942; <b> 0; <c> 296